1.
Density functional theory data (PBEsol) for an optimized crystal structure of SrTeOsI2.

Results
E_tot	-0.31884	Ry per atom

Unit cell a=5.5009 b=5.5009 c=5.1037 alpha=90.00 beta=90.00 gamma=90.00
Fractional positions:
Sr 0.0000 0.0000 0.0000
Te 0.5000 0.5000 0.0000
Os 0.5000 0.5000 0.5000
I 0.0000 0.5000 0.5000
I 0.5000 0.0000 0.5000



2.
Density functional theory data (PBEsol) for an optimized crystal structure of Li3CaNi.

Results
DFT formation energy	0.19	eV per atom

Unit cell a=4.6590 b=4.6590 c=4.6590 alpha=90.00 beta=90.00 gamma=90.00
Fractional positions:
Li 0.0000 0.0000 0.5000
Li 0.0000 0.5000 0.0000
Li 0.5000 0.0000 0.0000
Ca 0.5000 0.5000 0.5000
Ni 0.0000 0.0000 0.0000



3.
Density functional theory data (PBEsol) for an optimized crystal structure of CaMgHg4.

Results
DFT formation energy	-0.23	eV per atom

Unit cell a=5.8798 b=5.8798 c=5.8798 alpha=60.00 beta=60.00 gamma=60.00
Fractional positions:
Ca 0.0000 0.0000 0.0000
Mg 0.2500 0.2500 0.2500
Hg 0.1249 0.6250 0.6250
Hg 0.6250 0.1249 0.6250
Hg 0.6250 0.6250 0.1249
Hg 0.6250 0.6250 0.6250